PBE CeTm2Te, relaxed; M_tot = 2.5 μB/f.u.; DFT total energy = -18.54 eV/cell; crystal system = trigonal; raw formation energy = -12.6 kJ per mole of atoms; energy above the most stable polymorph in this dataset = 35.1 kJ/mol of atoms
1.0
1.8695 1.0793 10.7464
-1.8695 1.0793 10.7464
0.0000 -2.1587 10.7464
Ce Tm Te
1 2 1
direct
0.0000 0.0000 0.0000 Ce
0.1015 0.1015 0.1015 Tm
0.8985 0.8985 0.8985 Tm
0.5000 0.5000 0.5000 Te